[1]
Material: Sm3BiRu4O14
Method: DFT, PBE-GGA
State: relaxed

The calculation puts the formation energy (no corrections) at -40.8 eV per formula unit. The calculation puts the density of states at the Fermi level at 0.4726 states/eV per atom. Its crystal system is trigonal. For the total energy, the calculation gives -7.517 eV per atom.

Geometry as CIF:
```
data_Sm3BiRu4O14
_symmetry_space_group_name_H-M 'R -3 m'
_symmetry_Int_Tables_number 166
_symmetry_space_group_name_Hall '-R 3 2"'
_cell_length_a 7.3686
_cell_length_b 7.3686
_cell_length_c 17.8542
_cell_angle_alpha 90.00
_cell_angle_beta 90.00
_cell_angle_gamma 120.00
loop_
_atom_site_label
_atom_site_type_symbol
_atom_site_fract_x
_atom_site_fract_y
_atom_site_fract_z
Sm1 Sm 0.0000 0.5000 0.0000
Bi1 Bi 0.0000 0.0000 0.5000
Ru1 Ru 0.0000 0.0000 0.0000
Ru2 Ru 0.0000 0.5000 0.5000
O1 O 0.0000 0.0000 0.3729
O2 O 0.0570 0.5285 0.6107
O3 O 0.0592 0.5296 0.8595
```

=====

[2]
Material: MgCr2WI
Method: DFT, PBE-GGA
State: relaxed

The calculation puts the formation energy (no corrections) at 6.4 eV per formula unit. The calculation puts the density of states at the Fermi level at 0.7724 states/eV per atom. Its crystal system is tetragonal. For the total energy, the calculation gives -5.785 eV per atom.

Geometry as CIF:
```
data_MgCr2WI
_symmetry_space_group_name_H-M 'P 4/m m m'
_symmetry_Int_Tables_number 123
_symmetry_space_group_name_Hall '-P 4 2'
_cell_length_a 4.759
_cell_length_b 4.759
_cell_length_c 5.512
_cell_angle_alpha 90.00
_cell_angle_beta 90.00
_cell_angle_gamma 90.00
loop_
_atom_site_label
_atom_site_type_symbol
_atom_site_fract_x
_atom_site_fract_y
_atom_site_fract_z
Mg1 Mg 0.000 0.000 0.000
Cr1 Cr 0.000 0.500 0.500
W1 W 0.000 0.000 0.500
I1 I 0.500 0.500 0.000
```

=====

[3]
Material: CaAsP2
Method: DFT, PBE-GGA
State: relaxed

The calculation puts the calculated formation energy at -0.404 eV/atom. The calculation puts the density of states at the Fermi level at 0.4086 states/eV per atom. Its crystal system is monoclinic. For the total energy, the calculation gives -4.772 eV per atom.

Geometry as CIF:
```
data_CaAsP2
_symmetry_space_group_name_H-M 'P 1 2/m 1'
_symmetry_Int_Tables_number 10
_cell_length_a 4.622
_cell_length_b 3.839
_cell_length_c 5.195
_cell_angle_alpha 90.00
_cell_angle_beta 104.63
_cell_angle_gamma 90.00
loop_
_symmetry_equiv_pos_as_xyz
'x,y,z'
'-x,-y,-z'
'-x,y,-z'
'x,-y,z'
loop_
_atom_site_label
_atom_site_type_symbol
_atom_site_fract_x
_atom_site_fract_y
_atom_site_fract_z
Ca1 Ca 0.000 0.000 0.000
As1 As 0.500 0.000 0.500
P1 P 0.368 0.500 0.797
```

=====

[4]
Material: Mg9Si5
Method: DFT, PBE-GGA
State: relaxed

The calculation puts the formation energy (no corrections) at 0.2 eV per formula unit. The calculation puts the density of states at the Fermi level at 0.2837 states/eV per atom. Its crystal system is triclinic. The energy above the most stable polymorph in this dataset is 129 meV/atom. For the total energy, the calculation gives -2.947 eV per atom.

Geometry as CIF:
```
data_Mg9Si5
_symmetry_space_group_name_H-M 'P 1'
_symmetry_Int_Tables_number 1
_cell_length_a 7.496
_cell_length_b 7.850
_cell_length_c 11.005
_cell_angle_alpha 76.17
_cell_angle_beta 89.92
_cell_angle_gamma 63.39
loop_
_symmetry_equiv_pos_as_xyz
'x,y,z'
loop_
_atom_site_label
_atom_site_type_symbol
_atom_site_fract_x
_atom_site_fract_y
_atom_site_fract_z
Mg1 Mg 0.000 0.000 0.000
Mg2 Mg 0.002 0.997 0.275
Mg3 Mg 0.072 0.300 0.447
Mg4 Mg 0.104 0.152 0.732
Mg5 Mg 0.138 0.291 0.158
Mg6 Mg 0.178 0.821 0.566
Mg7 Mg 0.231 0.392 0.866
Mg8 Mg 0.312 0.529 0.368
Mg9 Mg 0.329 0.560 0.072
Mg10 Mg 0.462 0.728 0.805
Mg11 Mg 0.606 0.056 0.131
Mg12 Mg 0.628 0.507 0.578
Mg13 Mg 0.669 0.131 0.777
Mg14 Mg 0.698 0.531 0.252
Mg15 Mg 0.745 0.144 0.486
Mg16 Mg 0.810 0.760 0.417
Mg17 Mg 0.826 0.683 0.978
Mg18 Mg 0.855 0.702 0.687
Si1 Si 0.077 0.797 0.823
Si2 Si 0.297 0.393 0.617
Si3 Si 0.350 0.869 0.135
Si4 Si 0.417 0.831 0.359
Si5 Si 0.442 0.126 0.361
Si6 Si 0.443 0.994 0.933
Si7 Si 0.452 0.035 0.596
Si8 Si 0.749 0.333 0.070
Si9 Si 0.813 0.395 0.847
Si10 Si 0.971 0.683 0.206
```